1.
# PmZrGaRu PBE relaxed
# **Electronic total energy**: -6.701 eV/atom
# **Density of states at the Fermi level**: 0.803 states/eV per atom
# **Formation energy from the elements**: -0.3011 eV per atom
data_PmZrGaRu
_chemical_formula_sum 'Pm4 Zr4 Ga4 Ru4'
_cell_length_a 6.907
_cell_length_b 6.907
_cell_length_c 6.907
_cell_angle_alpha 90.00
_cell_angle_beta 90.00
_cell_angle_gamma 90.00
_space_group_name_H-M_alt 'F -4 3 m'
_space_group_IT_number 216
_space_group_name_Hall 'F -4 2 3'
loop_
_atom_site_label
_atom_site_fract_x
_atom_site_fract_y
_atom_site_fract_z
Pm1 0.000 0.000 0.000
Zr1 0.000 0.000 0.500
Ga1 0.250 0.250 0.250
Ru1 0.250 0.250 0.750



2.
# SmTm5Rh4 PBE relaxed
# **Electronic total energy**: -6.425 eV/atom
# **Density of states at the Fermi level**: 0.617 states/eV per atom
# **Formation energy from the elements**: -0.7766 eV per atom
data_SmTm5Rh4
_chemical_formula_sum 'Sm1 Tm5 Rh4'
_cell_length_a 3.388
_cell_length_b 3.388
_cell_length_c 19.030
_cell_angle_alpha 90.00
_cell_angle_beta 90.00
_cell_angle_gamma 90.00
_space_group_name_H-M_alt 'P 4/m m m'
_space_group_IT_number 123
_space_group_name_Hall '-P 4 2'
loop_
_atom_site_label
_atom_site_fract_x
_atom_site_fract_y
_atom_site_fract_z
Sm1 0.000 0.000 0.000
Tm1 0.500 0.500 0.147
Tm2 0.500 0.500 0.322
Tm3 0.500 0.500 0.500
Rh1 0.000 0.000 0.231
Rh2 0.000 0.000 0.411



3.
# Sr2Ag5Hg5 PBE relaxed
# **Electronic total energy**: -1.804 eV/atom
# **Density of states at the Fermi level**: 0.320 states/eV per atom
# **Formation energy from the elements**: -0.2101 eV per atom
data_Sr2Ag5Hg5
_chemical_formula_sum 'Sr2 Ag5 Hg5'
_cell_length_a 4.805
_cell_length_b 5.889
_cell_length_c 10.381
_cell_angle_alpha 90.00
_cell_angle_beta 90.00
_cell_angle_gamma 90.00
_space_group_name_H-M_alt 'P m m m'
_space_group_IT_number 47
_space_group_name_Hall '-P 2 2'
loop_
_atom_site_label
_atom_site_fract_x
_atom_site_fract_y
_atom_site_fract_z
Sr1 0.000 0.000 0.000
Sr2 0.000 0.500 0.500
Ag1 0.500 0.000 0.500
Ag2 0.500 0.248 0.256
Hg1 0.000 0.000 0.335
Hg2 0.000 0.500 0.179
Hg3 0.500 0.500 0.000



4.
# MnCrFeMo PBE relaxed
# **Electronic total energy**: -9.424 eV/atom
# **Density of states at the Fermi level**: 1.063 states/eV per atom
# **Formation energy from the elements**: 0.0979 eV per atom
data_MnCrFeMo
_chemical_formula_sum 'Mn4 Cr4 Fe4 Mo4'
_cell_length_a 5.865
_cell_length_b 5.865
_cell_length_c 5.865
_cell_angle_alpha 90.00
_cell_angle_beta 90.00
_cell_angle_gamma 90.00
_space_group_name_H-M_alt 'F -4 3 m'
_space_group_IT_number 216
_space_group_name_Hall 'F -4 2 3'
loop_
_atom_site_label
_atom_site_fract_x
_atom_site_fract_y
_atom_site_fract_z
Mn1 0.000 0.000 0.000
Cr1 0.250 0.250 0.750
Fe1 0.250 0.250 0.250
Mo1 0.000 0.000 0.500



5.
# NdDy2Y2Ho2 PBE relaxed
# **Electronic total energy**: -5.014 eV/atom
# **Density of states at the Fermi level**: 2.537 states/eV per atom
# **Formation energy from the elements**: 0.1371 eV per atom
data_NdDy2Y2Ho2
_chemical_formula_sum 'Nd3 Dy6 Y6 Ho6'
_cell_length_a 5.6793
_cell_length_b 5.6793
_cell_length_c 24.4602
_cell_angle_alpha 90.00
_cell_angle_beta 90.00
_cell_angle_gamma 120.00
_space_group_name_H-M_alt 'R -3 m'
_space_group_IT_number 166
_space_group_name_Hall '-R 3 2"'
loop_
_atom_site_label
_atom_site_fract_x
_atom_site_fract_y
_atom_site_fract_z
Nd1 0.0000 0.0000 0.0000
Dy1 0.0000 0.0000 0.2803
Y1 0.0000 0.0000 0.1410
Ho1 0.0000 0.0000 0.4266



6.
# PmPr12Er3 PBE relaxed
# **Electronic total energy**: -4.724 eV/atom
# **Density of states at the Fermi level**: 1.525 states/eV per atom
# **Formation energy from the elements**: 0.0126 eV per atom
data_PmPr12Er3
_chemical_formula_sum 'Pm1 Pr12 Er3'
_cell_length_a 5.192
_cell_length_b 5.192
_cell_length_c 20.721
_cell_angle_alpha 90.00
_cell_angle_beta 90.00
_cell_angle_gamma 90.00
_space_group_name_H-M_alt 'P 4/m m m'
_space_group_IT_number 123
_space_group_name_Hall '-P 4 2'
loop_
_atom_site_label
_atom_site_fract_x
_atom_site_fract_y
_atom_site_fract_z
Pm1 0.000 0.000 0.000
Pr1 0.000 0.500 0.127
Pr2 0.000 0.500 0.376
Pr3 0.500 0.500 0.000
Pr4 0.500 0.500 0.252
Pr5 0.500 0.500 0.500
Er1 0.000 0.000 0.251
Er2 0.000 0.000 0.500